Record 1
A relaxed KLiBe2Br6 crystal. Source: Alexandria via LeMat-Bulk, functional PBE.

```
10
Lattice="3.456 1.995 7.673 -3.456 1.995 7.673 0.000 -3.991 7.673" Properties=species:S:1:pos:R:3 pbc="T T T"
K 0.000 0.000 0.000
Li 0.000 0.000 11.510
Be 0.000 0.000 5.471
Be 0.000 0.000 17.549
Br -1.380 -1.768 9.804
Br -2.221 0.311 13.216
Br -0.841 2.079 9.804
Br 0.841 -2.079 13.216
Br 2.221 -0.311 9.804
Br 1.380 1.768 13.216
```

Values from the calculation:
Crystal system   trigonal
Total DFT energy (no corrections)   -3.275 eV/atom
Magnetization   0.00 μB per formula unit
Formation energy without anion corrections   -1225 meV per atom
Symmetry   R-3 (148)
Density   2.84 g cm⁻³
Density of states at the Fermi level   0.0 states/eV/cell



Record 2
A relaxed SrCd2As crystal. Source: Alexandria via LeMat-Bulk, functional PBE.

```
8
Lattice="4.731 0.000 0.000 0.000 5.887 0.000 0.000 0.000 7.816" Properties=species:S:1:pos:R:3 pbc="T T T"
Sr 0.000 0.000 0.000
Sr 2.366 2.943 3.908
Cd 0.000 0.000 3.724
Cd 0.000 2.943 1.672
Cd 2.366 0.000 5.580
Cd 2.366 2.943 7.632
As 0.000 2.943 6.088
As 2.366 0.000 2.180
```

Values from the calculation:
Energy of formation from the pure elements   -122 kJ/mol of formula units
Crystal system   orthorhombic
Total DFT energy (no corrections)   -2.357 eV/atom
Magnetization   0.00 μB per formula unit
Symmetry   Imm2 (44)
Density   5.91 g cm⁻³
Density of states at the Fermi level   5.4 states/eV/cell



Q: Which value of magnetization does entry 1 give?
A: 0.00 μB per formula unit



Please write out number 1 again, unchanged.
A relaxed KLiBe2Br6 crystal. Source: Alexandria via LeMat-Bulk, functional PBE.

```
10
Lattice="3.456 1.995 7.673 -3.456 1.995 7.673 0.000 -3.991 7.673" Properties=species:S:1:pos:R:3 pbc="T T T"
K 0.000 0.000 0.000
Li 0.000 0.000 11.510
Be 0.000 0.000 5.471
Be 0.000 0.000 17.549
Br -1.380 -1.768 9.804
Br -2.221 0.311 13.216
Br -0.841 2.079 9.804
Br 0.841 -2.079 13.216
Br 2.221 -0.311 9.804
Br 1.380 1.768 13.216
```

Values from the calculation:
Crystal system   trigonal
Total DFT energy (no corrections)   -3.275 eV/atom
Magnetization   0.00 μB per formula unit
Formation energy without anion corrections   -1225 meV per atom
Symmetry   R-3 (148)
Density   2.84 g cm⁻³
Density of states at the Fermi level   0.0 states/eV/cell